Entry 1:
An optimized crystal structure of IrAuSe2, computed with PBE-GGA.

Its calculated density is 10.24 g/cm3. The raw formation energy comes out at 0.18 eV per atom.

The structure belongs to space group I4/mcm (No. 140); the cell edges are 8.0638, 8.0638 and 5.4553 Å and the angles 90.00°, 90.00° and 90.00°. The inequivalent atoms are Ir at (0.0000, 0.5000, 0.2500), Au at (0.0000, 0.0000, 0.2500) and Se at (0.1729, 0.3271, 0.0000).

Entry 2:
An optimized crystal structure of K2DyInI6, computed with PBE-GGA.

Its calculated density is 3.84 g/cm3. The raw formation energy comes out at -1.24 eV per atom.

The structure belongs to space group R3 (No. 146, hexagonal axes); the cell edges are 8.6404, 8.6404 and 22.3946 Å and the angles 90.00°, 90.00° and 120.00°. The inequivalent atoms are K at (0.0000, 0.0000, 0.0000), K at (0.0000, 0.0000, 0.4892), Dy at (0.0000, 0.0000, 0.6934), In at (0.0000, 0.0000, 0.2011), I at (0.0209, 0.3992, 0.4354) and I at (0.0662, 0.6956, 0.2772).

Entry 3:
An optimized crystal structure of InSe, computed with PBE-GGA.

Its calculated density is 4.91 g/cm3. The raw formation energy comes out at -0.33 eV per atom.

The structure belongs to space group P6_3mc (No. 186); the cell edges are 4.2123, 4.2123 and 8.5344 Å and the angles 90.00°, 90.00° and 120.00°. The inequivalent atoms are In at (0.3333, 0.6667, 0.0000) and Se at (0.3333, 0.6667, 0.6611).

no.,total moment (μB/atom)
1,0.000
2,0.000
3,0.000